Material: Mg6CoSb
Method: DFT, PBE
State: relaxed

Cell: 4.859 6.260 10.757 Å, 90.00 90.00 90.00°
Space group Amm2 (No. 38)
Unique sites:
1 Mg 0.000 0.000 0.000 [2 per cell]
2 Mg 0.000 0.235 0.259 [4 per cell]
3 Mg 0.500 0.000 0.834 [2 per cell]
4 Mg 0.500 0.241 0.090 [4 per cell]
5 Co 0.500 0.000 0.313 [2 per cell]
6 Sb 0.000 0.000 0.497 [2 per cell]

Results
**Formation energy from raw total energies**: 0.046 eV per atom

---

Material: HfBW2
Method: DFT, PBE
State: relaxed

Cell: 3.680 3.680 19.202 Å, 90.00 90.00 90.00°
Space group I-42d (No. 122)
Unique sites:
1 Hf 0.000 0.000 0.000 [4 per cell]
2 B 0.000 0.000 0.500 [4 per cell]
3 W 0.236 0.250 0.625 [8 per cell]

Results
**DFT formation energy**: 0.739 eV per atom

---

Material: CePrMgTc
Method: DFT, PBE
State: relaxed

Cell: 7.290 7.290 7.290 Å, 90.00 90.00 90.00°
Space group F-43m (No. 216)
Unique sites:
1 Ce 0.000 0.000 0.000 [4 per cell]
2 Pr 0.000 0.000 0.500 [4 per cell]
3 Mg 0.250 0.250 0.750 [4 per cell]
4 Tc 0.250 0.250 0.250 [4 per cell]

Results
**DFT formation energy**: 0.133 eV per atom

---

Material: Y3Pb4Au3
Method: DFT, PBE
State: relaxed

Cell: 10.139 10.139 10.139 Å, 90.00 90.00 90.00°
Space group I-43d (No. 220)
Unique sites:
1 Y 0.000 0.250 0.375 [12 per cell]
2 Pb 0.096 0.096 0.096 [16 per cell]
3 Au 0.000 0.250 0.875 [12 per cell]

Results
**DFT formation energy**: -0.491 eV per atom

---

| no. | uncorrected energy (eV per formula unit) |
| --- | --- |
| 1 | -20.4 |
| 2 | -39.6 |
| 3 | -22.1 |
| 4 | -49.0 |